First-principles (PBE) data for a geometry-optimized RbPaAuO4 structure, as listed in the Alexandria database.

Unit cell a=7.529 b=7.529 c=7.529 alpha=126.19 beta=124.87 gamma=80.66
Positions (direct):
Rb: 0.415 0.165 0.250
Rb: 0.585 0.835 0.750
Pa: 0.000 0.500 0.500
Pa: 0.500 0.500 0.000
Au: 0.000 0.000 0.500
Au: 0.000 0.500 0.000
O: 0.128 0.694 0.435
O: 0.241 0.306 0.935
O: 0.273 0.334 0.561
O: 0.273 0.711 0.939
O: 0.727 0.289 0.061
O: 0.727 0.666 0.439
O: 0.759 0.694 0.065
O: 0.872 0.306 0.565

symmetry	Imma (74)
DOS(E_F)	6.689	states/eV per cell
total moment	0.00	μB per formula unit
total DFT energy (no corrections)	-6.838	eV per atom
formation energy without anion corrections	-2.0417	eV per atom